# AcPr7Dy4, optimized geometry, DFT PBE
# Fermi-level density of states (states/eV/atom): 1.64
# Energy relative to the lowest polymorph listed for this composition (meV/atom): 209
# Calculated formation energy (eV per atom): 0.2231
# Calculated total energy (eV per cell): -106.59
data_AcPr7Dy4
_cell_length_a 16.3175
_cell_length_b 6.1956
_cell_length_c 9.6167
_cell_angle_alpha 90.00
_cell_angle_beta 117.19
_cell_angle_gamma 90.00
_space_group_name_H-M_alt 'C 1 2/m 1'
_space_group_IT_number 12
_space_group_name_Hall '-C 2y'
loop_
_atom_site_label
_atom_site_fract_x
_atom_site_fract_y
_atom_site_fract_z
_atom_site_occupancy
Ac1 0.0000 0.0000 0.0000 1
Pr1 0.0000 0.5000 0.0000 1
Pr2 0.0920 0.0000 0.4641 1
Pr3 0.2161 0.0000 0.8926 1
Pr4 0.2296 0.0000 0.2646 1
Dy1 0.0640 0.5000 0.7017 1
Dy2 0.1658 0.5000 0.3558 1

# MnFeAg4, optimized geometry, DFT PBE
# Fermi-level density of states (states/eV/atom): 1.48
# Calculated formation energy (eV per atom): 0.5957
# Calculated total energy (eV per cell): -101.85
data_MnFeAg4
_cell_length_a 7.6076
_cell_length_b 7.6076
_cell_length_c 7.6076
_cell_angle_alpha 90.00
_cell_angle_beta 90.00
_cell_angle_gamma 90.00
_space_group_name_H-M_alt 'F -4 3 m'
_space_group_IT_number 216
_space_group_name_Hall 'F -4 2 3'
loop_
_atom_site_label
_atom_site_fract_x
_atom_site_fract_y
_atom_site_fract_z
_atom_site_occupancy
Mn1 0.0000 0.0000 0.0000 1
Fe1 0.2500 0.2500 0.2500 1
Ag1 0.1249 0.1249 0.6249 1

# BeMoPd2, optimized geometry, DFT PBE
# Fermi-level density of states (states/eV/atom): 0.37
# Calculated formation energy (eV per atom): -0.3112
# Calculated total energy (eV per cell): -26.19
data_BeMoPd2
_cell_length_a 2.7417
_cell_length_b 2.7417
_cell_length_c 7.0812
_cell_angle_alpha 90.00
_cell_angle_beta 90.00
_cell_angle_gamma 90.00
_space_group_name_H-M_alt 'P 4/m m m'
_space_group_IT_number 123
_space_group_name_Hall '-P 4 2'
loop_
_atom_site_label
_atom_site_fract_x
_atom_site_fract_y
_atom_site_fract_z
_atom_site_occupancy
Be1 0.0000 0.0000 0.0000 1
Mo1 0.0000 0.0000 0.5000 1
Pd1 0.5000 0.5000 0.2048 1

# AcBiTe2, optimized geometry, DFT PBE
# Fermi-level density of states (states/eV/atom): 0.95
# Energy relative to the lowest polymorph listed for this composition (meV/atom): 140
# Energy relative to the elements, uncorrected (kcal/mol of atoms): -16.21
# Calculated total energy (eV per cell): -17.08
data_AcBiTe2
_cell_length_a 4.0902
_cell_length_b 4.0902
_cell_length_c 7.8662
_cell_angle_alpha 90.00
_cell_angle_beta 90.00
_cell_angle_gamma 90.00
_space_group_name_H-M_alt 'P 4/m m m'
_space_group_IT_number 123
_space_group_name_Hall '-P 4 2'
loop_
_atom_site_label
_atom_site_fract_x
_atom_site_fract_y
_atom_site_fract_z
_atom_site_occupancy
Ac1 0.0000 0.0000 0.0000 1
Bi1 0.0000 0.0000 0.5000 1
Te1 0.5000 0.5000 0.2373 1

# Ac3Pm3Pr, optimized geometry, DFT PBE
# Fermi-level density of states (states/eV/atom): 1.78
# Calculated formation energy (eV per atom): 0.0370
# Calculated total energy (eV per cell): -186.58
data_Ac3Pm3Pr
_cell_length_a 10.0707
_cell_length_b 10.0707
_cell_length_c 18.6990
_cell_angle_alpha 90.00
_cell_angle_beta 90.00
_cell_angle_gamma 120.00
_space_group_name_H-M_alt 'R -3'
_space_group_IT_number 148
_space_group_name_Hall '-R 3'
loop_
_atom_site_label
_atom_site_fract_x
_atom_site_fract_y
_atom_site_fract_z
_atom_site_occupancy
Ac1 0.0423 0.8019 0.4158 1
Pm1 0.0498 0.8154 0.9170 1
Pr1 0.0000 0.0000 0.2444 1

# CdFe2Pt, optimized geometry, DFT PBE
# Fermi-level density of states (states/eV/atom): 1.11
# Calculated formation energy (eV per atom): -0.0052
# Calculated total energy (eV per cell): -23.90
data_CdFe2Pt
_cell_length_a 2.9902
_cell_length_b 2.9902
_cell_length_c 6.6604
_cell_angle_alpha 90.00
_cell_angle_beta 90.00
_cell_angle_gamma 90.00
_space_group_name_H-M_alt 'P 4 m m'
_space_group_IT_number 99
_space_group_name_Hall 'P 4 -2'
loop_
_atom_site_label
_atom_site_fract_x
_atom_site_fract_y
_atom_site_fract_z
_atom_site_occupancy
Cd1 0.0000 0.0000 0.0000 1
Fe1 0.0000 0.0000 0.4633 1
Fe2 0.5000 0.5000 0.2785 1
Pt1 0.5000 0.5000 0.7032 1

# InBrCl, optimized geometry, DFT PBE
# Fermi-level density of states (states/eV/atom): 0.47
# Energy relative to the elements, uncorrected (kcal/mol of atoms): -12.66
# Calculated total energy (eV per cell): -15.81
data_InBrCl
_cell_length_a 3.6327
_cell_length_b 3.6327
_cell_length_c 13.4794
_cell_angle_alpha 90.00
_cell_angle_beta 90.00
_cell_angle_gamma 90.00
_space_group_name_H-M_alt 'I 4 m m'
_space_group_IT_number 107
_space_group_name_Hall 'I 4 -2'
loop_
_atom_site_label
_atom_site_fract_x
_atom_site_fract_y
_atom_site_fract_z
_atom_site_occupancy
In1 0.0000 0.0000 0.0000 1
Br1 0.0000 0.0000 0.3724 1
Cl1 0.0000 0.0000 0.6147 1

# DyLuGaPb, optimized geometry, DFT PBE
# Fermi-level density of states (states/eV/atom): 0.88
# Calculated formation energy (eV per atom): -0.3867
# Calculated total energy (eV per cell): -69.62
data_DyLuGaPb
_cell_length_a 7.3992
_cell_length_b 7.3992
_cell_length_c 7.3992
_cell_angle_alpha 90.00
_cell_angle_beta 90.00
_cell_angle_gamma 90.00
_space_group_name_H-M_alt 'F -4 3 m'
_space_group_IT_number 216
_space_group_name_Hall 'F -4 2 3'
loop_
_atom_site_label
_atom_site_fract_x
_atom_site_fract_y
_atom_site_fract_z
_atom_site_occupancy
Dy1 0.0000 0.0000 0.0000 1
Lu1 0.0000 0.0000 0.5000 1
Ga1 0.2500 0.2500 0.7500 1
Pb1 0.2500 0.2500 0.2500 1